# CsFePO4

A relaxed CsFePO4 crystal (GGA+U, the Alexandria database).

The structure in POSCAR format:
```
CsFePO4
1.0
5.315 0.000 0.000
0.000 5.763 0.000
-1.492 0.000 8.193
Cs Fe P O
2 2 2 8
Cartesian
0.788 1.441 2.929 Cs
3.035 4.323 5.265 Cs
1.803 4.323 0.060 Fe
2.019 1.441 8.134 Fe
-0.350 1.441 6.712 P
4.172 4.323 1.481 P
-0.461 4.323 2.838 O
-1.352 1.441 7.898 O
0.632 0.210 6.918 O
0.632 2.672 6.918 O
3.190 3.092 1.276 O
3.190 5.553 1.276 O
5.175 4.323 0.295 O
4.284 1.441 5.355 O
```

For the density of states at the Fermi level, the calculation gives 0.00 states/eV/f.u. The total energy is -6.588 eV/atom.